Record 1
Cd2Ag4Hg after structural relaxation, computed with PBE.

abc: 5.794 5.794 5.793
angles: 104.08 104.08 120.89
Element x y z (fractional)
Cd: 0.750 0.250 0.500
Ag: 0.702 0.702 0.403
Ag: 0.702 0.298 0.000
Hg: 0.000 0.000 0.000
Ag: 0.298 0.702 0.000
Ag: 0.298 0.298 0.597
Cd: 0.250 0.750 0.500

## Properties
- spin magnetization (μB per cell) = 0.00
- DOS(E_F) (states/eV/atom) = 0.22
- ΔE to the lowest computed polymorph (meV per atom) = 0
- E_form (eV per atom) = 0.060


Record 2
Pm4Y6Sc after structural relaxation, computed with PBE.

abc: 5.720 5.613 25.847
angles: 90.00 90.00 120.63
Element x y z (fractional)
Y: 0.500 0.000 0.000
Pm: 0.844 0.687 0.546
Pm: 0.528 0.057 0.878
Pm: 0.156 0.313 0.046
Y: 0.854 0.709 0.816
Pm: 0.528 0.057 0.622
Y: 0.854 0.709 0.684
Pm: 0.156 0.313 0.454
Pm: 0.472 0.943 0.378
Y: 0.189 0.379 0.609
Y: 0.811 0.621 0.109
Y: 0.811 0.621 0.391
Y: 0.189 0.379 0.891
Y: 0.146 0.291 0.184
Y: 0.500 0.000 0.500
Y: 0.482 0.965 0.250
Sc: 0.183 0.367 0.750
Pm: 0.844 0.687 0.954
Sc: 0.817 0.633 0.250
Y: 0.146 0.291 0.316
Pm: 0.472 0.943 0.122
Y: 0.518 0.035 0.750

## Properties
- spin magnetization (μB per cell) = 0.00
- DOS(E_F) (states/eV/atom) = 1.89
- E_form (eV per atom) = 0.128


Record 3
Ca2PrCd8 after structural relaxation, computed with PBE.

abc: 5.447 6.391 9.083
angles: 110.31 107.12 90.90
Element x y z (fractional)
Cd: 0.137 0.900 0.259
Cd: 0.878 0.641 0.741
Ca: 0.312 0.312 0.624
Cd: 0.748 0.503 0.000
Pr: 0.500 0.000 0.000
Cd: 0.704 0.204 0.408
Cd: 0.252 0.497 0.000
Cd: 0.122 0.359 0.259
Cd: 0.863 0.100 0.741
Ca: 0.688 0.688 0.376
Cd: 0.296 0.796 0.592

## Properties
- spin magnetization (μB per cell) = 0.00
- DOS(E_F) (states/eV/atom) = 0.56
- E_form (eV per atom) = -0.266


Record 4
Gd2TaN after structural relaxation, computed with PBE.

abc: 3.290 3.290 9.125
angles: 79.62 79.62 60.00
Element x y z (fractional)
N: 0.500 0.500 0.500
Ta: 0.000 0.000 0.000
Gd: 0.113 0.113 0.660
Gd: 0.887 0.887 0.340

## Properties
- spin magnetization (μB per cell) = 15.62
- DOS(E_F) (states/eV/atom) = 0.86
- formation energy from raw total energies (eV per atom) = -0.17


Record 5
K2FeW after structural relaxation, computed with PBE.

abc: 6.686 5.151 2.750
angles: 84.44 80.31 111.42
Element x y z (fractional)
K: 0.000 0.500 0.500
W: 0.500 0.500 0.000
Fe: 0.500 0.000 0.500
K: 0.000 0.000 0.000

## Properties
- spin magnetization (μB per cell) = 1.72
- DOS(E_F) (states/eV/atom) = 1.02
- ΔE to the lowest computed polymorph (meV per atom) = 650
- E_form (eV per atom) = 1.550


Record 6
Ho3Er2Ag3 after structural relaxation, computed with PBE.

abc: 3.635 5.228 11.173
angles: 103.53 99.36 90.00
Element x y z (fractional)
Ag: 0.000 0.500 0.000
Ag: 0.883 0.883 0.765
Ho: 0.500 0.000 0.000
Er: 0.732 0.232 0.463
Ag: 0.117 0.117 0.235
Ho: 0.379 0.379 0.758
Ho: 0.621 0.621 0.242
Er: 0.268 0.768 0.537

## Properties
- spin magnetization (μB per cell) = 0.00
- DOS(E_F) (states/eV/atom) = 0.82
- E_form (eV per atom) = -0.228


Record 7
BP3Rh after structural relaxation, computed with PBE.

abc: 4.022 4.022 4.022
angles: 90.00 90.00 90.00
Element x y z (fractional)
P: 0.000 0.500 0.000
B: 0.000 0.000 0.000
Rh: 0.500 0.500 0.500
P: 0.500 0.000 0.000
P: 0.000 0.000 0.500

## Properties
- spin magnetization (μB per cell) = 0.00
- DOS(E_F) (states/eV/atom) = 0.41
- ΔE to the lowest computed polymorph (meV per atom) = 0
- E_form (eV per atom) = 0.666


Record 8
TmThCd17 after structural relaxation, computed with PBE.

abc: 7.658 7.658 7.658
angles: 82.17 82.17 82.17
Element x y z (fractional)
Cd: 0.216 0.619 0.619
Cd: 0.104 0.104 0.104
Cd: 0.909 0.909 0.909
Cd: 0.619 0.619 0.216
Cd: 0.004 0.694 0.301
Cd: 0.301 0.004 0.694
Cd: 0.974 0.528 0.974
Tm: 0.323 0.323 0.323
Cd: 0.345 0.345 0.880
Cd: 0.619 0.216 0.619
Cd: 0.694 0.301 0.004
Cd: 0.528 0.974 0.974
Cd: 0.345 0.880 0.345
Cd: 0.301 0.694 0.004
Cd: 0.974 0.974 0.528
Cd: 0.880 0.345 0.345
Cd: 0.004 0.301 0.694
Th: 0.667 0.667 0.667
Cd: 0.694 0.004 0.301

## Properties
- spin magnetization (μB per cell) = 0.00
- DOS(E_F) (states/eV/atom) = 0.32
- E_form (eV per atom) = -0.072


Record 9
Np2AgSe2N2 after structural relaxation, computed with PBE.

abc: 3.813 3.813 11.561
angles: 90.00 90.00 120.00
Element x y z (fractional)
N: 0.667 0.333 0.572
Ag: 0.000 0.000 0.000
N: 0.333 0.667 0.428
Se: 0.000 0.000 0.784
Se: 0.000 0.000 0.216
Np: 0.333 0.667 0.622
Np: 0.667 0.333 0.378

## Properties
- spin magnetization (μB per cell) = 5.00
- DOS(E_F) (states/eV/atom) = 1.95
- formation energy from raw total energies (eV per atom) = -0.93


no.,total energy (eV per cell)
1,-13.120
2,-125.410
3,-19.034
4,-49.033
5,-17.409
6,-33.234
7,-26.929
8,-28.810
9,-58.876